Here is a geometry-optimized U2AgAu6 structure from Alexandria. Energies are from GGA-PBE.

a = 2.953 Å, b = 8.431 Å, c = 8.431 Å
α = 60.01°, β = 89.94°, γ = 89.94°
Last column: magnetic moment on the atom in μB.
Fractional positions:
U1 0.000 0.333 0.333  2.72
U2 0.000 0.667 0.667  2.72
Ag1 0.000 0.000 0.000  0.01
Au1 0.499 0.670 0.000  0.01
Au2 0.501 0.000 0.330  0.01
Au3 0.501 0.330 0.000  0.01
Au4 0.500 0.670 0.330  0.01
Au5 0.499 0.000 0.670  0.01
Au6 0.500 0.330 0.670  0.01

## Properties
SG   No. 12
Calculated formation energy   -138 meV/atom